# 1
First-principles (PBE-GGA) data for a geometry-optimized MnSiHg2 structure, as listed in Alexandria.

M_tot ... 0.99 μB/atom

a = 5.3453 Å, b = 5.3453 Å, c = 5.3453 Å
α = 134.38°, β = 134.38°, γ = 66.49°
Last column: magnetic moment on the atom in μB.
Sites, in units of the cell vectors:
Hg 0.0000 0.0000 0.0000  -0.01
Hg 0.5000 0.5000 0.0000  -0.01
Mn 0.2500 0.7500 0.5000  3.86
Si 0.7500 0.2500 0.5000  -0.03

# 2
First-principles (PBE-GGA) data for a geometry-optimized MnSi2Hg structure, as listed in Alexandria.

M_tot ... 0.70 μB/atom

a = 4.2014 Å, b = 4.2014 Å, c = 8.6867 Å
α = 76.01°, β = 76.01°, γ = 90.00°
Last column: magnetic moment on the atom in μB.
Sites, in units of the cell vectors:
Si 0.5342 0.1250 0.2500  -0.04
Si 0.2158 0.6250 0.2500  -0.05
Si 0.3750 0.4658 0.7500  -0.04
Si 0.8750 0.7842 0.7500  -0.04
Mn 0.5000 0.5000 0.0000  2.81
Mn 0.2500 0.7500 0.5000  2.79
Hg 0.0000 0.0000 0.0000  0.00
Hg 0.7500 0.2500 0.5000  0.00

Q: Which DOS(E_F) values were calculated for the entries above? A: 1.8; 4.9, in states/eV per cell.
Q: Which formation energy (no corrections) values were calculated for the entries above? A: 449; 347, in meV/atom.
Q: Which electronic total energy values were calculated for the entries above? A: -13.40; -37.86, in eV per cell.